DFT (PBE-GGA) results for a geometry-optimized Y2Al3Cd structure.

The space group is Imm2 (No. 44) and the conventional cell measures 3.863, 4.554 and 15.915 Å, with angles of 90.00, 90.00 and 90.00 degrees. The asymmetric unit holds Y at (0.000, 0.000, 0.000), Y at (0.000, 0.500, 0.280), Al at (0.000, 0.000, 0.439), Al at (0.000, 0.500, 0.682), Al at (0.000, 0.500, 0.841) and Cd at (0.000, 0.000, 0.603).

As for the distance to the lowest polymorph of the same formula: 0.560 eV per formula unit. The value obtained for the density of states at the Fermi level is 3.53 states/eV/f.u. The formation energy is -205.1 kJ/mol of formula units. The volume is 23.33 Å³/atom.